[1]
DFT (GGA-PBE) results for a geometry-optimized Ti2VTc4 structure.

## Properties
For the mass density, the calculation gives 8.13 Mg/m³. The space-group type is I4/mmm, No. 139. The calculation puts the formation energy from the elements at 67 kJ/mol of formula units. The value obtained for the offset from the most stable computed form is 0 meV per atom.

Lattice parameters (Å, degrees): 5.229 5.229 5.229 108.55 109.93 109.93
Fractional coordinates of all 7 atoms:
Ti 0.500 0.000 0.500
Ti 0.500 0.500 0.000
Tc 0.000 0.500 0.000
Tc 0.500 0.500 0.500
Tc 0.500 0.000 0.000
Tc 0.000 0.000 0.500
V 0.000 0.000 0.000

[2]
DFT (GGA-PBE) results for a geometry-optimized TiVTc2 structure.

## Properties
For the mass density, the calculation gives 8.52 Mg/m³. The space-group type is Fm-3m, No. 225. The calculation puts the formation energy from the elements at -175 kJ/mol of formula units. The value obtained for the offset from the most stable computed form is 0 meV per atom.

Lattice parameters (Å, degrees): 4.332 4.332 4.332 60.00 60.00 60.00
Fractional coordinates of all 4 atoms:
Ti 0.000 0.000 0.000
Tc 0.750 0.750 0.750
Tc 0.250 0.250 0.250
V 0.500 0.500 0.500

[3]
DFT (GGA-PBE) results for a geometry-optimized Ti2V2Tc structure.

## Properties
For the mass density, the calculation gives 6.15 Mg/m³. The space-group type is P4/mbm, No. 127. The calculation puts the formation energy from the elements at 47 kJ/mol of formula units. The value obtained for the offset from the most stable computed form is 301 meV per atom.

Lattice parameters (Å, degrees): 6.121 6.121 4.260 90.00 90.00 90.00
Fractional coordinates of all 10 atoms:
V 0.857 0.643 0.000
V 0.357 0.857 0.000
V 0.643 0.143 0.000
V 0.143 0.357 0.000
Ti 0.665 0.835 0.500
Ti 0.835 0.335 0.500
Ti 0.335 0.165 0.500
Ti 0.165 0.665 0.500
Tc 0.000 0.000 0.000
Tc 0.500 0.500 0.000

Q: Which of these has the highest formation energy from the elements?
A: Ti2VTc4

Q: What is the formula in the third record?
A: Ti2V2Tc

Q: What is the formation energy from the elements in the second record?
A: -175 kJ/mol of formula units